1.
{
  "formula": "La2TbPbC",
  "functional": "PBE",
  "state": "optimized geometry",
  "e_form_ev_per_atom": -0.4396,
  "lattice_angstrom": [[-1.979, 3.331, -3.159], [-4.567, -2.552, 0.170], [-1.499, 2.953, 4.053]],
  "species": ["La", "La", "Tb", "Pb", "C"],
  "frac_coords": [[0.000, 0.000, 0.500], [0.000, 0.500, 0.000], [0.500, 0.000, 0.000], [0.500, 0.500, 0.500], [0.000, 0.000, 0.000]]
}



2.
{
  "formula": "SmHfAl2",
  "functional": "PBE",
  "state": "optimized geometry",
  "e_form_ev_per_atom": -0.0557,
  "lattice_angstrom": [[-2.867, 0.215, 1.574], [-0.077, -0.029, 3.276], [-0.199, 9.722, 1.721]],
  "species": ["Hf", "Al", "Al", "Sm"],
  "frac_coords": [[0.000, 0.000, 0.000], [0.744, 0.744, 0.769], [0.256, 0.256, 0.231], [0.500, 0.500, 0.500]]
}



3.
{
  "formula": "TbNd2OsO8",
  "functional": "PBE",
  "state": "optimized geometry",
  "e_form_raw_mev_per_atom": -2434,
  "lattice_angstrom": [[-1.276, -2.723, -4.216], [-2.470, -3.416, 3.004], [-5.843, 3.686, -0.613]],
  "species": ["Tb", "Nd", "Nd", "Os", "O", "O", "O", "O", "O", "O", "O", "O"],
  "frac_coords": [[0.000, 0.000, 0.500], [0.500, 0.500, 0.749], [0.500, 0.500, 0.251], [0.000, 0.000, 0.000], [0.177, 0.822, 0.208], [0.745, 0.746, 0.000], [0.823, 0.178, 0.208], [0.823, 0.178, 0.792], [0.255, 0.254, 0.000], [0.177, 0.822, 0.792], [0.696, 0.697, 0.500], [0.304, 0.303, 0.500]]
}



4.
{
  "formula": "Ho2Al4Ni3Pt",
  "functional": "PBE",
  "state": "optimized geometry",
  "e_form_ev_per_atom": -0.7212,
  "lattice_angstrom": [[3.983, 0.000, 0.000], [0.000, 3.983, 0.000], [0.000, 0.000, 10.591]],
  "species": ["Ho", "Ho", "Al", "Al", "Al", "Al", "Ni", "Ni", "Ni", "Pt"],
  "frac_coords": [[0.500, 0.000, 0.239], [0.000, 0.500, 0.761], [0.500, 0.500, 0.000], [0.000, 0.000, 0.000], [0.500, 0.000, 0.637], [0.000, 0.500, 0.363], [0.000, 0.000, 0.500], [0.500, 0.000, 0.863], [0.000, 0.500, 0.137], [0.500, 0.500, 0.500]]
}



5.
{
  "formula": "Sc2CoHg",
  "functional": "PBE",
  "state": "optimized geometry",
  "e_form_ev_per_atom": -0.1290,
  "lattice_angstrom": [[5.199, 0.001, 0.000], [1.954, 4.818, 0.000], [-3.576, -2.409, 2.904]],
  "species": ["Co", "Hg", "Sc", "Sc"],
  "frac_coords": [[0.500, 0.500, 0.000], [0.750, 0.250, 0.500], [0.000, 0.000, 0.000], [0.250, 0.750, 0.500]]
}



6.
{
  "formula": "Sr2MoPt",
  "functional": "PBE",
  "state": "optimized geometry",
  "e_form_ev_per_atom": 0.4458,
  "lattice_angstrom": [[8.067, -0.012, -0.028], [-3.075, 4.201, 0.032], [1.917, 1.378, 3.126]],
  "species": ["Mo", "Pt", "Sr", "Sr"],
  "frac_coords": [[0.000, 0.500, 0.500], [0.500, 0.500, 0.000], [0.000, 0.000, 0.000], [0.500, 0.000, 0.500]]
}



7.
{
  "formula": "SrY2ScIr",
  "functional": "PBE",
  "state": "optimized geometry",
  "e_form_ev_per_atom": -0.3171,
  "lattice_angstrom": [[5.534, 0.000, 0.000], [0.000, 5.534, 0.000], [0.000, 0.000, 5.194]],
  "species": ["Y", "Y", "Sr", "Ir", "Sc"],
  "frac_coords": [[0.000, 0.500, 0.000], [0.500, 0.000, 0.000], [0.500, 0.500, 0.500], [0.000, 0.000, 0.000], [0.000, 0.000, 0.500]]
}



8.
{
  "formula": "ScPb",
  "functional": "PBE",
  "state": "optimized geometry",
  "e_form_ev_per_atom": -0.1916,
  "lattice_angstrom": [[4.241, 0.000, 0.000], [2.120, 3.673, 0.000], [2.120, 1.224, 3.462]],
  "species": ["Pb", "Sc"],
  "frac_coords": [[0.000, 0.000, 0.000], [0.500, 0.500, 0.500]]
}



9.
{
  "formula": "LaCoSn3",
  "functional": "PBE",
  "state": "optimized geometry",
  "e_form_ev_per_atom": -0.1887,
  "lattice_angstrom": [[5.009, 0.000, 0.000], [0.000, 5.009, 0.000], [0.000, 0.000, 5.009]],
  "species": ["Co", "Sn", "Sn", "Sn", "La"],
  "frac_coords": [[0.000, 0.000, 0.000], [0.000, 0.500, 0.000], [0.000, 0.000, 0.500], [0.500, 0.000, 0.000], [0.500, 0.500, 0.500]]
}



10.
{
  "formula": "AlSb2PdI",
  "functional": "PBE",
  "state": "optimized geometry",
  "e_form_raw_mev_per_atom": 448,
  "lattice_angstrom": [[5.208, 0.000, 0.000], [0.000, 5.208, 0.000], [0.000, 0.000, 5.783]],
  "species": ["I", "Sb", "Sb", "Al", "Pd"],
  "frac_coords": [[0.000, 0.000, 0.500], [0.000, 0.500, 0.000], [0.500, 0.000, 0.000], [0.500, 0.500, 0.500], [0.000, 0.000, 0.000]]
}



11.
{
  "formula": "HfMgTe2",
  "functional": "PBE",
  "state": "optimized geometry",
  "e_form_raw_mev_per_atom": -1,
  "lattice_angstrom": [[2.345, 0.000, 8.870], [-1.172, 2.031, 8.870], [-1.172, -2.031, 8.870]],
  "species": ["Mg", "Te", "Te", "Hf"],
  "frac_coords": [[0.500, 0.500, 0.500], [0.898, 0.898, 0.898], [0.102, 0.102, 0.102], [0.000, 0.000, 0.000]]
}



12.
{
  "formula": "ThMgBiAu",
  "functional": "PBE",
  "state": "optimized geometry",
  "e_form_ev_per_atom": -0.3774,
  "lattice_angstrom": [[-2.358, 3.677, -2.948], [-0.182, -0.541, -5.239], [-4.578, -1.069, -2.381]],
  "species": ["Mg", "Au", "Bi", "Th"],
  "frac_coords": [[0.250, 0.250, 0.250], [0.000, 0.000, 0.000], [0.500, 0.500, 0.500], [0.750, 0.750, 0.750]]
}



| no. | E_tot (Ha/atom) | size of the total moment (μB/cell) |
| --- | --- | --- |
| 1 | -0.2177 | 0.00 |
| 2 | -0.2056 | 0.00 |
| 3 | -0.2887 | 1.04 |
| 4 | -0.2011 | 0.00 |
| 5 | -0.1891 | 0.00 |
| 6 | -0.1695 | 3.41 |
| 7 | -0.2307 | 0.00 |
| 8 | -0.1915 | 0.00 |
| 9 | -0.1836 | 0.00 |
| 10 | -0.1212 | 1.00 |
| 11 | -0.1639 | 0.00 |
| 12 | -0.1625 | 0.00 |